# Zn2Re2Os | Alexandria via LeMat-Bulk | PBE | relaxed
data_Zn2Re2Os
_symmetry_space_group_name_H-M 'P 1'
_symmetry_Int_Tables_number 1
_symmetry_space_group_name_Hall 'P 1'
_cell_length_a 3.2477
_cell_length_b 3.2477
_cell_length_c 7.5812
_cell_angle_alpha 77.63
_cell_angle_beta 77.63
_cell_angle_gamma 90.00
loop_
_atom_site_label
_atom_site_fract_x
_atom_site_fract_y
_atom_site_fract_z
Re1 0.4033 0.4033 0.1935
Re2 0.5967 0.5967 0.8065
Zn1 0.7500 0.2500 0.5000
Zn2 0.2500 0.7500 0.5000
Os1 0.0000 0.0000 0.0000
# Raw total energy: -7.041 eV/atom
# Theoretical density: 15.111 g/cm3